A plane-wave DFT calculation with meta-GGA SCAN was carried out for a crystal of TcBHRu2 relaxed with PBEsol. Values from VASP.

Structure (Quantum ESPRESSO input):
```
&SYSTEM
  ibrav = 0, nat = 5, ntyp = 4
/
ATOMIC_SPECIES
Ru 101.07 Ru.upf
B 10.81 B.upf
Tc 98.00 Tc.upf
H 1.01 H.upf
ATOMIC_POSITIONS angstrom
Ru -0.9060 -1.9291 0.3989
Ru 1.7020 -0.9876 -0.9106
B 0.0000 0.0000 0.0000
Tc 0.1507 -2.8729 -1.7654
H -0.6453 0.0438 -1.2537
CELL_PARAMETERS angstrom
-1.2906 0.0876 -2.5074
3.4040 -1.9752 -1.8212
-1.8119 -3.8582 0.7978
```

E	-22.45	eV per atom
crystal system	tetragonal



A plane-wave DFT calculation with meta-GGA SCAN was carried out for a crystal of TlBHS2 relaxed with PBEsol. Values from VASP.

Structure (Quantum ESPRESSO input):
```
&SYSTEM
  ibrav = 0, nat = 5, ntyp = 4
/
ATOMIC_SPECIES
H 1.01 H.upf
Tl 204.38 Tl.upf
B 10.81 B.upf
S 32.06 S.upf
ATOMIC_POSITIONS angstrom
H 1.6774 0.0000 0.0000
Tl 1.6774 2.2387 2.2387
B 0.0000 0.0000 0.0000
S 0.0000 0.0000 2.2387
S 0.0000 2.2387 0.0000
CELL_PARAMETERS angstrom
3.3549 0.0000 0.0000
0.0000 4.4775 0.0000
0.0000 0.0000 4.4775
```

E	-19.97	eV per atom
crystal system	tetragonal



A plane-wave DFT calculation with meta-GGA SCAN was carried out for a crystal of B2SbH relaxed with PBEsol. Values from VASP.

Structure (Quantum ESPRESSO input):
```
&SYSTEM
  ibrav = 0, nat = 4, ntyp = 3
/
ATOMIC_SPECIES
Sb 121.76 Sb.upf
B 10.81 B.upf
H 1.01 H.upf
ATOMIC_POSITIONS angstrom
Sb -2.5000 -2.4993 -3.3765
B -1.2500 -1.2497 -1.6883
B -3.7500 -3.7490 -5.0648
H 0.0000 0.0000 0.0000
CELL_PARAMETERS angstrom
-2.3190 0.3136 -3.2335
0.2788 -2.7010 -2.9255
-2.9598 -2.6112 -0.5941
```

E	-12.05	eV per atom
crystal system	cubic